VASP calculation (meta-GGA SCAN) on Sb2AsSe at its PBEsol-relaxed geometry.

Values from the calculation:
E_form (uncorrected) = 0.054 eV per atom
Mass density = 6.608 Mg/m³
Raw total energy = -28.644 eV per atom
Offset from the most stable computed form = 0.20 eV/f.u.

abc: 5.0627 5.0627 5.0627
angles: 108.27 110.07 110.07
With the nearest neighbours (Å) after each atom.
Atoms (fractional coordinates):
Sb: 0.5000 0.0000 0.5000  2 Se 2.90, 2 As 2.90, 2 Sb 2.97
Sb: 0.5000 0.5000 0.0000  2 As 2.90, 2 Se 2.90, 2 Sb 2.97
As: 0.0000 0.0000 0.0000  4 Sb 2.90, 2 Se 2.97
Se: 0.0000 0.5000 0.5000  4 Sb 2.90, 2 As 2.97


VASP calculation (meta-GGA SCAN) on SbAsSe2 at its PBEsol-relaxed geometry.

Values from the calculation:
E_form (uncorrected) = 0.001 eV per atom
Mass density = 5.761 Mg/m³
Raw total energy = -24.401 eV per atom

abc: 3.9664 4.7054 5.9527
angles: 101.93 109.46 90.00
With the nearest neighbours (Å) after each atom.
Atoms (fractional coordinates):
As: 0.4371 0.6041 0.8742  1 Se 2.37
Sb: 0.8086 0.1720 0.6172  1 Se 2.57
Se: 0.0144 0.0170 0.0288  1 Sb 2.57, 2 As 2.78
Se: 0.2399 0.7069 0.4798  1 As 2.37


Number 1: calculated volume 25.0 Å³/atom. Number 2: calculated volume 25.6 Å³/atom.